(1)
Here is a relaxed structure of CdSb2P from Alexandria. Energies are from PBE-GGA.

Cell lengths 4.1060, 4.1604, 5.7885 Å; angles 90.00, 90.56, 90.00 degrees
With the nearest neighbours (Å) after each atom.
Space group P2/m (No. 10)
Inequivalent atoms, fractional coordinates:
Cd 0.0000 0.0000 0.0000 x1  6 Sb 2.89-2.92
Sb 0.0000 0.0000 0.5000 x1  2 Cd 2.89, 4 P 2.92
Sb 0.5000 0.5000 0.0000 x1  2 P 2.89, 4 Cd 2.92
P 0.5000 0.5000 0.5000 x1  6 Sb 2.89-2.92

Results
Spin magnetization in μB/atom: 0.00
E_form (uncorrected) in eV/atom: 0.185
Theoretical density in g cm⁻³: 6.50
Distance to the lowest polymorph of the same formula in kcal/mol of atoms: 0.80

***

(2)
Here is a relaxed structure of Cd2SbP from Alexandria. Energies are from PBE-GGA.

Cell lengths 3.1764, 4.2085, 7.8298 Å; angles 90.00, 90.00, 90.00 degrees
With the nearest neighbours (Å) after each atom.
Space group Pmm2 (No. 25)
Inequivalent atoms, fractional coordinates:
Cd 0.0000 0.0000 0.0000 x1  1 P 2.54
Cd 0.5000 0.5000 0.4277 x1  4 P 2.76, 1 Sb 2.92
Sb 0.5000 0.5000 0.8007 x1  5 Cd 2.92-3.06, 2 Sb 3.18
P 0.0000 0.0000 0.3239 x1  5 Cd 2.54-2.76

Results
Spin magnetization in μB/atom: 0.00
E_form (uncorrected) in eV/atom: 0.123
Theoretical density in g cm⁻³: 5.99
Distance to the lowest polymorph of the same formula in kcal/mol of atoms: 0.33

***

(3)
Here is a relaxed structure of CdSb2P from Alexandria. Energies are from PBE-GGA.

Cell lengths 3.5091, 3.5484, 7.5706 Å; angles 90.00, 90.00, 90.00 degrees
With the nearest neighbours (Å) after each atom.
Space group Pmmm (No. 47)
Inequivalent atoms, fractional coordinates:
Cd 0.0000 0.0000 0.0000 x1  8 Sb 3.32, 4 Cd 3.51-3.55
Sb 0.5000 0.5000 0.2898 x2  4 P 2.96, 1 Sb 3.18
P 0.0000 0.0000 0.5000 x1  8 Sb 2.96

Results
Spin magnetization in μB/atom: 0.00
E_form (uncorrected) in eV/atom: 0.318
Theoretical density in g cm⁻³: 6.82
Distance to the lowest polymorph of the same formula in kcal/mol of atoms: 3.86

***

(4)
Here is a relaxed structure of CdSbP2 from Alexandria. Energies are from PBE-GGA.

Cell lengths 3.8981, 3.8981, 11.1555 Å; angles 90.00, 90.00, 90.00 degrees
With the nearest neighbours (Å) after each atom.
Space group I-4m2 (No. 119)
Inequivalent atoms, fractional coordinates:
Cd 0.0000 0.0000 0.0000 x2  4 P 2.76
Sb 0.0000 0.5000 0.2500 x2  4 P 2.76
P 0.0000 0.0000 0.5000 x2  4 Cd 2.76
P 0.0000 0.5000 0.7500 x2  4 Sb 2.76

Results
Spin magnetization in μB/atom: 0.00
E_form (uncorrected) in eV/atom: 0.504
Theoretical density in g cm⁻³: 5.80
Distance to the lowest polymorph of the same formula in kcal/mol of atoms: 8.78

***

(5)
Here is a relaxed structure of CdSbP2 from Alexandria. Energies are from PBE-GGA.

Cell lengths 3.7968, 3.7968, 6.3096 Å; angles 90.00, 90.00, 90.00 degrees
With the nearest neighbours (Å) after each atom.
Space group P4mm (No. 99)
Inequivalent atoms, fractional coordinates:
Cd 0.0000 0.0000 0.0000 x1  5 P 2.66-2.74
Sb 0.5000 0.5000 0.4893 x1  5 P 2.54-2.74
P 0.0000 0.0000 0.5780 x1  1 Cd 2.66, 4 Sb 2.74
P 0.5000 0.5000 0.0874 x1  1 Sb 2.54, 4 Cd 2.74

Results
Spin magnetization in μB/atom: 0.00
E_form (uncorrected) in eV/atom: 0.134
Theoretical density in g cm⁻³: 5.41
Distance to the lowest polymorph of the same formula in kcal/mol of atoms: 0.24

***

(6)
Here is a relaxed structure of CdSb2P from Alexandria. Energies are from PBE-GGA.

Cell lengths 3.6482, 3.6482, 26.9193 Å; angles 90.00, 90.00, 120.00 degrees
With the nearest neighbours (Å) after each atom.
Space group R3m (No. 160, hexagonal axes)
Inequivalent atoms, fractional coordinates:
Cd 0.0000 0.0000 0.0000 x3  3 P 2.88, 3 Sb 3.07
Sb 0.0000 0.0000 0.2503 x3  3 Cd 3.07
Sb 0.0000 0.0000 0.4644 x3  3 P 2.62
P 0.0000 0.0000 0.7397 x3  3 Sb 2.62, 3 Cd 2.88

Results
Spin magnetization in μB/atom: 0.00
E_form (uncorrected) in eV/atom: 0.171
Theoretical density in g cm⁻³: 6.21
Distance to the lowest polymorph of the same formula in kcal/mol of atoms: 0.47

***

(7)
Here is a relaxed structure of CdSb2P from Alexandria. Energies are from PBE-GGA.

Cell lengths 3.9353, 5.3314, 9.0878 Å; angles 90.00, 90.00, 90.00 degrees
With the nearest neighbours (Å) after each atom.
Space group Cmm2 (No. 35)
Inequivalent atoms, fractional coordinates:
Cd 0.0000 0.0000 0.0000 x2  2 P 2.80, 2 Sb 3.12
Sb 0.0000 0.0000 0.5714 x2  2 P 2.74
Sb 0.0000 0.5000 0.2663 x2  2 Cd 3.12, 6 Sb 3.31-3.40
P 0.0000 0.5000 0.7808 x2  2 Sb 2.74, 2 Cd 2.80

Results
Spin magnetization in μB/atom: 0.00
E_form (uncorrected) in eV/atom: 0.340
Theoretical density in g cm⁻³: 6.74
Distance to the lowest polymorph of the same formula in kcal/mol of atoms: 4.36

***

(8)
Here is a relaxed structure of CdSbP2 from Alexandria. Energies are from PBE-GGA.

Cell lengths 3.1763, 3.1763, 9.0311 Å; angles 90.00, 90.00, 90.00 degrees
With the nearest neighbours (Å) after each atom.
Space group P4mm (No. 99)
Inequivalent atoms, fractional coordinates:
Cd 0.0000 0.0000 0.0000 x1  1 P 2.82
Sb 0.5000 0.5000 0.6812 x1  1 P 2.67
P 0.0000 0.0000 0.3119 x1  4 P 2.34
P 0.5000 0.5000 0.3855 x1  4 P 2.34

Results
Spin magnetization in μB/atom: 0.00
E_form (uncorrected) in eV/atom: 0.159
Theoretical density in g cm⁻³: 5.40
Distance to the lowest polymorph of the same formula in kcal/mol of atoms: 0.81

***

(9)
Here is a relaxed structure of Cd3SbP from Alexandria. Energies are from PBE-GGA.

Cell lengths 5.0991, 5.0991, 5.0991 Å; angles 90.00, 90.00, 90.00 degrees
With the nearest neighbours (Å) after each atom.
Space group Pm-3m (No. 221)
Inequivalent atoms, fractional coordinates:
Cd 0.0000 0.0000 0.5000 x3  2 P 2.55
Sb 0.5000 0.5000 0.5000 x1  12 Cd 3.61
P 0.0000 0.0000 0.0000 x1  6 Cd 2.55

Results
Spin magnetization in μB/atom: 0.00
E_form (uncorrected) in eV/atom: 0.296
Theoretical density in g cm⁻³: 6.14
Distance to the lowest polymorph of the same formula in kcal/mol of atoms: 6.37

***

(10)
Here is a relaxed structure of CdSb2P from Alexandria. Energies are from PBE-GGA.

Cell lengths 3.1132, 5.6248, 6.1078 Å; angles 90.00, 104.25, 90.00 degrees
With the nearest neighbours (Å) after each atom.
Space group Pm (No. 6)
Inequivalent atoms, fractional coordinates:
Cd 0.0000 0.0000 0.0000 x1  4 Sb 2.90-3.11, 2 Cd 3.11
Sb 0.0528 0.5000 0.1224 x1  1 P 2.53
Sb 0.2652 0.0000 0.5504 x1  2 P 2.81, 2 Cd 3.06-3.11, 2 Sb 3.11
P 0.2613 0.5000 0.5493 x1  3 Sb 2.53-2.81

Results
Spin magnetization in μB/atom: 0.00
E_form (uncorrected) in eV/atom: 0.181
Theoretical density in g cm⁻³: 6.20
Distance to the lowest polymorph of the same formula in kcal/mol of atoms: 0.71

***

(11)
Here is a relaxed structure of Cd2SbP from Alexandria. Energies are from PBE-GGA.

Cell lengths 5.8102, 8.0117, 4.5094 Å; angles 90.00, 114.70, 90.00 degrees
With the nearest neighbours (Å) after each atom.
Space group C2/m (No. 12)
Inequivalent atoms, fractional coordinates:
Cd 0.2500 0.2500 0.0000 x4  2 Cd 2.91, 2 Sb 2.91, 2 P 2.91
Sb 0.0000 0.0000 0.5000 x2  2 P 2.91, 4 Cd 2.91
P 0.0000 0.5000 0.5000 x2  2 Sb 2.91, 4 Cd 2.91

Results
Spin magnetization in μB/atom: 0.00
E_form (uncorrected) in eV/atom: 0.224
Theoretical density in g cm⁻³: 6.57
Distance to the lowest polymorph of the same formula in kcal/mol of atoms: 2.66

***

(12)
Here is a relaxed structure of CdSbP2 from Alexandria. Energies are from PBE-GGA.

Cell lengths 2.9223, 3.8303, 7.7515 Å; angles 90.00, 100.08, 90.00 degrees
With the nearest neighbours (Å) after each atom.
Space group P2/m (No. 10)
Inequivalent atoms, fractional coordinates:
Cd 0.0000 0.0000 0.0000 x1  4 P 2.76, 2 Cd 2.92
Sb 0.0000 0.0000 0.5000 x1  4 P 2.75, 2 Sb 2.92
P 0.1368 0.5000 0.7576 x2  2 Sb 2.75, 2 Cd 2.76, 2 P 2.92

Results
Spin magnetization in μB/atom: 0.00
E_form (uncorrected) in eV/atom: 0.295
Theoretical density in g cm⁻³: 5.76
Distance to the lowest polymorph of the same formula in kcal/mol of atoms: 3.95

***

(13)
Here is a relaxed structure of CdSbP2 from Alexandria. Energies are from PBE-GGA.

Cell lengths 4.8061, 4.8061, 3.4659 Å; angles 90.00, 90.00, 90.00 degrees
With the nearest neighbours (Å) after each atom.
Space group P4/mmm (No. 123)
Inequivalent atoms, fractional coordinates:
Cd 0.0000 0.0000 0.0000 x1  8 P 2.96
Sb 0.5000 0.5000 0.0000 x1  8 P 2.96
P 0.0000 0.5000 0.5000 x2  4 Cd 2.96, 4 Sb 2.96

Results
Spin magnetization in μB/atom: 0.00
E_form (uncorrected) in eV/atom: 0.482
Theoretical density in g cm⁻³: 6.14
Distance to the lowest polymorph of the same formula in kcal/mol of atoms: 8.28

***

(14)
Here is a relaxed structure of CdSb2P from Alexandria. Energies are from PBE-GGA.

Cell lengths 5.0007, 5.0007, 7.5355 Å; angles 90.00, 90.00, 90.00 degrees
With the nearest neighbours (Å) after each atom.
Space group I-4m2 (No. 119)
Inequivalent atoms, fractional coordinates:
Cd 0.0000 0.0000 0.0000 x2  4 Sb 3.13, 4 P 3.13
Sb 0.0000 0.0000 0.5000 x2  4 Sb 3.13, 4 P 3.13
Sb 0.0000 0.5000 0.2500 x2  4 Cd 3.13, 4 Sb 3.13
P 0.0000 0.5000 0.7500 x2  4 Cd 3.13, 4 Sb 3.13

Results
Spin magnetization in μB/atom: 0.00
E_form (uncorrected) in eV/atom: 0.395
Theoretical density in g cm⁻³: 6.82
Distance to the lowest polymorph of the same formula in kcal/mol of atoms: 5.64